Entry from Alexandria: a relaxed Ta2Si2Sb crystal (PBE).

Unit cell a=7.3090 b=7.3090 c=3.3662 alpha=90.00 beta=90.00 gamma=90.00
Space group P4/mbm (No. 127)
Inequivalent atoms, fractional coordinates:
Ta 0.1542 0.3458 0.0000 x4
Si 0.1306 0.6306 0.5000 x4
Sb 0.0000 0.0000 0.0000 x2

Properties
**Energy relative to the elements, uncorrected**: -23 kJ/mol of formula units